First-principles (PBE+U) data for an optimized crystal structure of DyPuFe2O8, as listed in Alexandria.

```
DyPuFe2O8
1.0
5.921 0.269 0.000
-2.385 5.427 0.000
-1.768 -2.848 4.888
Dy Pu Fe O
1 1 2 8
direct
0.000 0.000 0.000
0.250 0.750 0.500
0.750 0.250 0.500
0.500 0.500 0.000
0.370 0.051 0.319
0.308 0.509 0.201
0.308 0.107 0.799
0.732 0.051 0.681
0.893 0.692 0.201
0.949 0.268 0.319
0.949 0.630 0.681
0.491 0.692 0.799
```

Summary:
Energy (eV/atom): -7.81
Total moment (μB per atom): 0.62
Density of states at the Fermi level (states/eV/cell): 7.89